# 1
TbSmBrN | PBE-GGA | optimized geometry

Unit cell a=3.6468 b=3.6468 c=21.5623 alpha=90.00 beta=90.00 gamma=120.00
Space group R3m (No. 160, hexagonal axes)
One atom of each set of equivalent atoms:
Tb 0.0000 0.0000 0.0000 [3 per cell]
Sm 0.0000 0.0000 0.2135 [3 per cell]
Br 0.0000 0.0000 0.4382 [3 per cell]
N 0.0000 0.0000 0.6162 [3 per cell]

## Properties
Formation energy (no corrections): -1.421 eV per atom



# 2
LiMnAg3 | PBE-GGA | optimized geometry

Unit cell a=4.4899 b=4.4899 c=4.4899 alpha=90.00 beta=90.00 gamma=90.00
Space group Pm-3m (No. 221)
One atom of each set of equivalent atoms:
Li 0.0000 0.0000 0.0000 [1 per cell]
Mn 0.5000 0.5000 0.5000 [1 per cell]
Ag 0.0000 0.0000 0.5000 [3 per cell]

## Properties
ΔE_f: 0.537 eV per atom



# 3
HfCoI3 | PBE-GGA | optimized geometry

Unit cell a=6.9929 b=6.9929 c=6.9929 alpha=90.00 beta=90.00 gamma=90.00
Space group Pm-3m (No. 221)
One atom of each set of equivalent atoms:
Hf 0.0000 0.0000 0.0000 [1 per cell]
Co 0.5000 0.5000 0.5000 [1 per cell]
I 0.0000 0.0000 0.5000 [3 per cell]

## Properties
Formation energy (no corrections): 1.232 eV per atom



# 4
Mg2AlIn | PBE-GGA | optimized geometry

Unit cell a=10.2447 b=3.3283 c=5.2085 alpha=90.00 beta=102.13 gamma=90.00
Space group Cm (No. 8)
One atom of each set of equivalent atoms:
Mg 0.0000 0.0000 0.0000 [2 per cell]
Mg 0.2423 0.0000 0.7263 [2 per cell]
Al 0.2466 0.5000 0.2180 [2 per cell]
In 0.4868 0.0000 0.4865 [2 per cell]

## Properties
ΔE_f: 0.000 eV per atom



# 5
LiMgCd | PBE-GGA | optimized geometry

Unit cell a=4.7417 b=4.7871 c=5.7241 alpha=90.00 beta=114.33 gamma=90.00
Space group P2_1/m (No. 11)
One atom of each set of equivalent atoms:
Li 0.0736 0.2500 0.1498 [2 per cell]
Mg 0.2548 0.7500 0.5065 [2 per cell]
Cd 0.4163 0.2500 0.8375 [2 per cell]

## Properties
ΔE_f: -0.187 eV per atom



# 6
PuAlFe | PBE-GGA | optimized geometry

Unit cell a=2.9960 b=2.9960 c=11.3458 alpha=90.00 beta=90.00 gamma=90.00
Space group I4mm (No. 107)
One atom of each set of equivalent atoms:
Pu 0.0000 0.0000 0.0000 [2 per cell]
Al 0.0000 0.0000 0.2853 [2 per cell]
Fe 0.0000 0.0000 0.6638 [2 per cell]

## Properties
ΔE_f: -0.126 eV per atom



# 7
Er7GaSe5 | PBE-GGA | optimized geometry

Unit cell a=3.9748 b=13.2565 c=23.9611 alpha=90.00 beta=90.00 gamma=90.00
Space group Cmc2_1 (No. 36)
One atom of each set of equivalent atoms:
Er 0.0000 0.0277 0.0000 [4 per cell]
Er 0.0000 0.1388 0.2865 [4 per cell]
Er 0.0000 0.1395 0.7134 [4 per cell]
Er 0.0000 0.3080 0.0693 [4 per cell]
Er 0.0000 0.3085 0.9306 [4 per cell]
Er 0.0000 0.4047 0.3698 [4 per cell]
Er 0.0000 0.4054 0.6302 [4 per cell]
Ga 0.0000 0.3099 0.4998 [4 per cell]
Se 0.0000 0.0523 0.3920 [4 per cell]
Se 0.0000 0.0529 0.6079 [4 per cell]
Se 0.0000 0.2226 0.1777 [4 per cell]
Se 0.0000 0.2232 0.8222 [4 per cell]
Se 0.0000 0.4997 0.2500 [4 per cell]

## Properties
Formation energy (no corrections): -1.417 eV per atom



# 8
PuSi2Au | PBE-GGA | optimized geometry

Unit cell a=13.5178 b=4.1738 c=10.7282 alpha=90.00 beta=90.00 gamma=90.00
Space group Pnma (No. 62)
One atom of each set of equivalent atoms:
Pu 0.0482 0.2500 0.2397 [4 per cell]
Pu 0.1928 0.7500 0.9661 [4 per cell]
Si 0.0264 0.2500 0.9594 [4 per cell]
Si 0.1159 0.2500 0.7769 [4 per cell]
Si 0.1317 0.7500 0.4526 [4 per cell]
Si 0.2052 0.7500 0.2591 [4 per cell]
Au 0.0607 0.2500 0.5563 [4 per cell]
Au 0.2169 0.7500 0.6658 [4 per cell]

## Properties
Formation energy (no corrections): -0.409 eV per atom



no.,energy (eV/atom),N(E_F) (states/eV per atom),mass density (Mg/m³)
1,-6.258,0.1731,8.09
2,-3.391,0.5145,7.07
3,-3.109,1.3394,3.00
4,-2.417,0.2729,3.64
5,-1.661,0.2535,4.03
6,-8.971,1.7463,10.66
7,-5.447,0.5588,8.60
8,-7.522,2.5149,10.91